Entry from Alexandria: a geometry-optimized NpZn2CoO8 structure (PBE+U).

Unit cell a=4.7126 b=6.1568 c=4.7194 alpha=90.00 beta=92.88 gamma=90.00
Fractional positions:
Np 0.0000 0.0000 0.0000
Zn 0.5000 0.2668 0.5000
Zn 0.5000 0.7332 0.5000
Co 0.0000 0.5000 0.0000
O 0.1879 0.2631 0.8143
O 0.1879 0.7369 0.8143
O 0.2743 0.5000 0.2764
O 0.3007 0.0000 0.3034
O 0.6993 0.0000 0.6966
O 0.7257 0.5000 0.7236
O 0.8121 0.2631 0.1857
O 0.8121 0.7369 0.1857

Properties
The raw total energy comes out at -6.457 eV/atom.